No. 1
Entry from the Alexandria database: an optimized crystal structure of TbScGa4 (GGA-PBE).

Cell lengths 5.424, 5.424, 5.424 Å; angles 60.00, 60.00, 60.00 degrees
Fractional coordinates of all 6 atoms:
Tb (0.000, 0.000, 0.000)
Sc (0.750, 0.750, 0.750)
Ga (0.375, 0.375, 0.375)
Ga (0.375, 0.375, 0.874)
Ga (0.375, 0.874, 0.375)
Ga (0.874, 0.375, 0.375)

Properties
Total magnetic moment ... 0.0000 μB per atom
Polymorph energy (0 for the lowest one) ... 54 meV per atom
SG ... F-43m
Energy relative to the elements ... -523 meV per atom

No. 2
Entry from the Alexandria database: an optimized crystal structure of Tb5Sc2Ga4 (GGA-PBE).

Cell lengths 8.441, 8.441, 8.441 Å; angles 146.47, 100.16, 89.43 degrees
Fractional coordinates of all 11 atoms:
Tb (0.000, 0.000, 0.000)
Tb (0.161, 0.317, 0.844)
Tb (0.473, 0.317, 0.156)
Tb (0.527, 0.683, 0.844)
Tb (0.839, 0.683, 0.156)
Sc (0.180, 0.680, 0.500)
Sc (0.820, 0.320, 0.500)
Ga (0.165, 0.500, 0.665)
Ga (0.398, 0.898, 0.500)
Ga (0.602, 0.102, 0.500)
Ga (0.835, 0.500, 0.335)

Properties
Total magnetic moment ... 0.0000 μB per atom
SG ... Immm
Energy relative to the elements ... -50 meV per atom

No. 3
Entry from the Alexandria database: an optimized crystal structure of TbScGa2 (GGA-PBE).

Cell lengths 3.485, 3.485, 6.895 Å; angles 90.00, 90.00, 90.00 degrees
Fractional coordinates of all 4 atoms:
Tb (0.000, 0.000, 0.000)
Sc (0.000, 0.000, 0.500)
Ga (0.500, 0.500, 0.273)
Ga (0.500, 0.500, 0.727)

Properties
Total magnetic moment ... 0.0000 μB per atom
Polymorph energy (0 for the lowest one) ... 0 meV per atom
SG ... P4/mmm
Energy relative to the elements ... -589 meV per atom

No. 4
Entry from the Alexandria database: an optimized crystal structure of Tb3Sc2Ga4 (GGA-PBE).

Cell lengths 6.190, 6.190, 9.182 Å; angles 116.25, 116.25, 42.30 degrees
Fractional coordinates of all 9 atoms:
Tb (0.000, 0.000, 0.000)
Tb (0.362, 0.362, 0.311)
Tb (0.638, 0.638, 0.689)
Sc (0.346, 0.346, 0.677)
Sc (0.654, 0.654, 0.323)
Ga (0.070, 0.070, 0.412)
Ga (0.295, 0.295, 0.953)
Ga (0.705, 0.705, 0.047)
Ga (0.930, 0.930, 0.588)

Properties
Total magnetic moment ... 0.0000 μB per atom
SG ... C2/m
Energy relative to the elements ... -510 meV per atom

No. 5
Entry from the Alexandria database: an optimized crystal structure of TbSc2Ga6 (GGA-PBE).

Cell lengths 7.621, 7.621, 3.351 Å; angles 90.00, 90.00, 120.00 degrees
Fractional coordinates of all 9 atoms:
Tb (0.000, 0.000, 0.000)
Sc (0.333, 0.667, 0.000)
Sc (0.667, 0.333, 0.000)
Ga (0.000, 0.337, 0.500)
Ga (0.000, 0.663, 0.500)
Ga (0.337, 0.000, 0.500)
Ga (0.337, 0.337, 0.500)
Ga (0.663, 0.000, 0.500)
Ga (0.663, 0.663, 0.500)

Properties
Total magnetic moment ... 0.0000 μB per atom
Polymorph energy (0 for the lowest one) ... 0 meV per atom
SG ... P6/mmm
Energy relative to the elements ... -565 meV per atom

No. 6
Entry from the Alexandria database: an optimized crystal structure of Tb4ScGa4 (GGA-PBE).

Cell lengths 8.639, 8.639, 5.718 Å; angles 90.00, 90.00, 90.00 degrees
Fractional coordinates of all 18 atoms:
Tb (0.077, 0.826, 0.126)
Tb (0.174, 0.577, 0.626)
Tb (0.326, 0.923, 0.626)
Tb (0.423, 0.674, 0.126)
Tb (0.577, 0.326, 0.874)
Tb (0.674, 0.077, 0.374)
Tb (0.826, 0.423, 0.374)
Tb (0.923, 0.174, 0.874)
Sc (0.250, 0.250, 0.750)
Sc (0.750, 0.750, 0.250)
Ga (0.058, 0.162, 0.367)
Ga (0.162, 0.442, 0.133)
Ga (0.338, 0.058, 0.133)
Ga (0.442, 0.338, 0.367)
Ga (0.558, 0.662, 0.633)
Ga (0.662, 0.942, 0.867)
Ga (0.838, 0.558, 0.867)
Ga (0.942, 0.838, 0.633)

Properties
Total magnetic moment ... 0.0000 μB per atom
SG ... P4_2/n
Energy relative to the elements ... -351 meV per atom